[1]
A plane-wave DFT calculation with PBE was carried out for a relaxed ThNpPb crystal.

POSCAR file:
```
ThNpPb
1.0
8.3975 -1.7909 0.0000
8.3975 1.7909 0.0000
-1.0705 0.0000 5.5873
Th Np Pb
2 2 2
direct
0.0965 0.0965 0.2746
0.9035 0.9035 0.7254
0.2451 0.2451 0.8578
0.7549 0.7549 0.1422
0.4184 0.4184 0.2305
0.5816 0.5816 0.7695
```

Summary:
Size of the total moment in μB per atom: 0.259

---

[2]
A plane-wave DFT calculation with PBE was carried out for a relaxed NpTi2Pb crystal.

POSCAR file:
```
NpTi2Pb
1.0
3.4523 0.0000 0.0000
0.0000 3.4523 0.0000
0.0000 0.0000 6.6531
Np Ti Pb
1 2 1
direct
0.0000 0.0000 0.0000
0.5000 0.5000 0.2257
0.5000 0.5000 0.7743
0.0000 0.0000 0.5000
```

Summary:
Energy above the lowest structure with this stoichiometry in kJ/mol of atoms: 4.7
Size of the total moment in μB per atom: 0.853

---

[3]
A plane-wave DFT calculation with PBE was carried out for a relaxed NpTi2Pb crystal.

POSCAR file:
```
NpTi2Pb
1.0
0.0000 3.4481 3.4481
3.4481 0.0000 3.4481
3.4481 3.4481 0.0000
Np Ti Pb
1 2 1
direct
0.0000 0.0000 0.0000
0.2500 0.2500 0.2500
0.7500 0.7500 0.7500
0.5000 0.5000 0.5000
```

Summary:
Energy above the lowest structure with this stoichiometry in kJ/mol of atoms: 7.2
Size of the total moment in μB per atom: 1.472

---

[4]
A plane-wave DFT calculation with PBE was carried out for a relaxed NpTi2Pb crystal.

POSCAR file:
```
NpTi2Pb
1.0
1.5957 0.9213 9.5015
-1.5957 0.9213 9.5015
0.0000 -1.8425 9.5015
Np Ti Pb
1 2 1
direct
0.0000 0.0000 0.0000
0.2525 0.2525 0.2525
0.7475 0.7475 0.7475
0.5000 0.5000 0.5000
```

Summary:
Energy above the lowest structure with this stoichiometry in kJ/mol of atoms: 13.6
Size of the total moment in μB per atom: 0.982

---

[5]
A plane-wave DFT calculation with PBE was carried out for a relaxed NpTi2Pb crystal.

POSCAR file:
```
NpTi2Pb
1.0
4.6494 0.0000 0.0000
0.0000 4.6494 0.0000
0.0000 0.0000 3.7436
Np Ti Pb
1 2 1
direct
0.0000 0.0000 0.0000
0.0000 0.5000 0.5000
0.5000 0.0000 0.5000
0.5000 0.5000 0.0000
```

Summary:
Energy above the lowest structure with this stoichiometry in kJ/mol of atoms: 0.0
Size of the total moment in μB per atom: 1.190

---

[6]
A plane-wave DFT calculation with PBE was carried out for a relaxed NpTiPb crystal.

POSCAR file:
```
NpTiPb
1.0
3.6605 0.0000 0.0000
0.0000 3.6605 0.0000
0.0000 0.0000 9.3856
Np Ti Pb
2 2 2
direct
0.2500 0.7500 0.0000
0.7500 0.2500 0.0000
0.2500 0.2500 0.4146
0.7500 0.7500 0.5854
0.2500 0.2500 0.7203
0.7500 0.7500 0.2797
```

Summary:
Size of the total moment in μB per atom: 0.428

---

Number 1: V 28.01 Å³ per atom, formation enthalpy at 0 K 0.074 eV/atom. Number 2: V 19.82 Å³ per atom, formation enthalpy at 0 K 0.209 eV/atom. Number 3: V 20.50 Å³ per atom, formation enthalpy at 0 K 0.235 eV/atom. Number 4: V 20.95 Å³ per atom, formation enthalpy at 0 K 0.302 eV/atom. Number 5: V 20.23 Å³ per atom, formation enthalpy at 0 K 0.160 eV/atom. Number 6: V 20.96 Å³ per atom, formation enthalpy at 0 K 0.222 eV/atom.